Below is a relaxed structure of TmPuMgTl, with properties calculated at the PBE level.

Structure (POSCAR):
```
TmPuMgTl
1.0
-1.047 3.993 -3.381
-5.020 0.938 -1.549
-2.555 4.356 1.725
Tl Tm Mg Pu
1 1 1 1
Cartesian
-4.311 4.644 -1.603
-6.467 6.965 -2.404
0.000 0.000 0.000
-2.156 2.322 -0.801
```

Calculated values
DFT total energy   -5.724 eV per atom
Size of the total moment   6.29 μB/cell
Formation energy   -0.0330 eV per atom